First-principles (GGA+U) data for an optimized crystal structure of Mn2PbCl2O2, as listed in Alexandria.

Calculated values
Its crystal system is monoclinic. The calculated total energy is -5.873 eV per atom.

```
Mn2PbCl2O2
1.0
6.891 -1.807 0.000
6.891 1.807 0.000
-2.619 0.000 5.691
Mn Pb Cl O
2 1 2 2
Direct
0.246 0.246 0.191
0.754 0.754 0.809
0.000 0.000 0.500
0.379 0.379 0.695
0.621 0.621 0.305
0.176 0.176 0.819
0.824 0.824 0.181
```